Material: FeTeAsI2
Method: DFT, GGA-PBE
State: optimized geometry

a = 5.5628 Å, b = 5.5628 Å, c = 5.6707 Å
α = 90.00°, β = 90.00°, γ = 90.00°
With the nearest neighbours (Å) after each atom.
Atoms (fractional coordinates):
I  0.0000  0.5000  0.0000  2 As 2.78
I  0.5000  0.0000  0.0000  2 As 2.78
As  0.0000  0.0000  0.0000  4 I 2.78, 2 Te 2.84
Te  0.0000  0.0000  0.5000  2 As 2.84
Fe  0.5000  0.5000  0.5000  4 Te 3.93, 8 I 3.97

Properties
energy relative to the elements, uncorrected	834	meV per atom
space group	P4/mmm (123)

***

Material: InFe2As2
Method: DFT, GGA-PBE
State: optimized geometry

a = 4.1618 Å, b = 4.1618 Å, c = 5.5076 Å
α = 67.80°, β = 67.80°, γ = 90.00°
With the nearest neighbours (Å) after each atom.
Atoms (fractional coordinates):
As  0.3643  0.3643  0.2714  4 Fe 2.34, 1 As 2.53
As  0.6357  0.6357  0.7286  4 Fe 2.34, 1 As 2.53
Fe  0.7500  0.2500  0.5000  4 As 2.34
Fe  0.2500  0.7500  0.5000  4 As 2.34
In  0.0000  0.0000  0.0000  8 Fe 3.12, 10 As 3.20-3.39

Properties
formation energy	45	meV/atom
space group	I4/mmm (139)

***

Material: InFe2As
Method: DFT, GGA-PBE
State: optimized geometry

a = 4.2572 Å, b = 4.2572 Å, c = 6.4815 Å
α = 68.67°, β = 68.67°, γ = 40.60°
With the nearest neighbours (Å) after each atom.
Atoms (fractional coordinates):
As  0.2500  0.2500  0.2500  6 Fe 2.44-2.46
Fe  0.0127  0.0127  0.0961  2 Fe 2.43, 3 As 2.44-2.46
Fe  0.4873  0.4873  0.4039  2 Fe 2.43, 3 As 2.44-2.46
In  0.7500  0.7500  0.7500  4 Fe 2.74, 2 In 2.95

Properties
formation energy	218	meV/atom
space group	C2/m (12)

***

Material: InFe2As
Method: DFT, GGA-PBE
State: optimized geometry

a = 8.0552 Å, b = 8.0552 Å, c = 8.0552 Å
α = 21.46°, β = 21.46°, γ = 21.46°
With the nearest neighbours (Å) after each atom.
Atoms (fractional coordinates):
As  0.7500  0.7500  0.7500  6 Fe 2.46
Fe  0.0091  0.0091  0.0091  3 As 2.46
Fe  0.4909  0.4909  0.4909  3 As 2.46
In  0.2500  0.2500  0.2500  6 Fe 2.79, 6 In 3.00

Properties
formation energy	267	meV/atom
space group	R-3m (166)

***

For reference, calculated density by record: 4.8 7.8 7.1 8.2 g cm⁻³.
For reference, distance to the lowest polymorph of the same formula by record: 1.03 0.00 0.55 0.75 eV per formula unit.